# 1
DFT (GGA-PBE) results for crystalline Gd2ZrSe5 at its relaxed geometry.

Calculated values
The electronic total energy is -6.08 eV per atom. Its space-group type is Pnma (62).

abc: 12.204 8.148 7.647
angles: 90.00 90.00 90.00
Fractional coordinates of all 32 atoms:
Gd 0.821 0.504 0.024
Gd 0.821 0.996 0.024
Gd 0.321 0.504 0.476
Gd 0.321 0.996 0.476
Gd 0.679 0.004 0.524
Gd 0.679 0.496 0.524
Gd 0.179 0.004 0.976
Gd 0.179 0.496 0.976
Se 0.003 0.750 0.050
Se 0.594 0.038 0.162
Se 0.594 0.462 0.162
Se 0.320 0.250 0.170
Se 0.291 0.750 0.189
Se 0.791 0.750 0.311
Se 0.820 0.250 0.330
Se 0.094 0.038 0.338
Se 0.094 0.462 0.338
Se 0.503 0.750 0.450
Se 0.497 0.250 0.550
Se 0.906 0.538 0.662
Se 0.906 0.962 0.662
Se 0.180 0.750 0.670
Se 0.209 0.250 0.689
Se 0.709 0.250 0.811
Se 0.680 0.750 0.830
Se 0.406 0.538 0.838
Se 0.406 0.962 0.838
Se 0.997 0.250 0.950
Zr 0.506 0.750 0.080
Zr 0.006 0.750 0.420
Zr 0.994 0.250 0.580
Zr 0.494 0.250 0.920

***

# 2
DFT (GGA-PBE) results for crystalline GdZrSe4 at its relaxed geometry.

Calculated values
The electronic total energy is -5.75 eV per atom. Its space-group type is Cmmm (65).

abc: 6.603 6.603 4.055
angles: 90.00 90.00 90.40
Fractional coordinates of all 6 atoms:
Gd 0.000 0.000 0.000
Se 0.692 0.308 0.000
Se 0.308 0.692 0.000
Se 0.213 0.213 0.500
Se 0.787 0.787 0.500
Zr 0.500 0.500 0.500

***

# 3
DFT (GGA-PBE) results for crystalline Gd2Si at its relaxed geometry.

Calculated values
The electronic total energy is -5.44 eV per atom. Its space-group type is P-62m (189).

abc: 7.924 7.924 4.225
angles: 90.00 90.00 120.00
Fractional coordinates of all 9 atoms:
Gd 0.266 0.000 0.000
Gd 0.000 0.266 0.000
Gd 0.734 0.734 0.000
Gd 0.595 0.000 0.500
Gd 0.405 0.405 0.500
Gd 0.000 0.595 0.500
Si 0.667 0.333 0.000
Si 0.333 0.667 0.000
Si 0.000 0.000 0.500